Entry 1:
TbTh3Sc3 after structural relaxation. Source: Alexandria via LeMat-Bulk, functional PBE.

Output
E_form: 0.060 eV/atom
Electronic total energy: -6.495 eV per atom

abc: 5.642 9.154 9.154
angles: 120.00 90.00 90.00
Fractional positions:
Tb1 0.250 0.667 0.333
Tb2 0.750 0.333 0.667
Th1 0.250 0.801 0.758
Th2 0.250 0.242 0.043
Th3 0.250 0.957 0.199
Th4 0.750 0.199 0.242
Th5 0.750 0.758 0.957
Th6 0.750 0.043 0.801
Sc1 0.750 0.616 0.525
Sc2 0.750 0.475 0.092
Sc3 0.750 0.908 0.384
Sc4 0.250 0.384 0.475
Sc5 0.250 0.525 0.908
Sc6 0.250 0.092 0.616

Entry 2:
RbSm2ReO8 after structural relaxation. Source: Alexandria via LeMat-Bulk, functional PBE.

Output
Electronic total energy: -7.444 eV per atom

abc: 5.477 5.371 7.360
angles: 72.38 96.67 104.66
Fractional positions:
Rb1 0.000 0.000 0.500
Sm1 0.558 0.349 0.815
Sm2 0.442 0.651 0.185
Re1 0.000 0.000 0.000
O1 0.075 0.755 0.230
O2 0.745 0.712 0.939
O3 0.740 0.073 0.114
O4 0.925 0.245 0.770
O5 0.255 0.288 0.061
O6 0.260 0.927 0.886
O7 0.539 0.641 0.508
O8 0.461 0.359 0.492

Entry 3:
Sr5Re after structural relaxation. Source: Alexandria via LeMat-Bulk, functional PBE.

Output
E_form: 1.317 eV/atom
Electronic total energy: -2.159 eV per atom

abc: 7.139 7.139 6.867
angles: 90.00 90.00 120.00
Fractional positions:
Sr1 0.333 0.667 0.000
Sr2 0.667 0.333 0.000
Sr3 0.500 0.000 0.500
Sr4 0.000 0.500 0.500
Sr5 0.500 0.500 0.500
Re1 0.000 0.000 0.000

Entry 4:
SrCdGeCl6 after structural relaxation. Source: Alexandria via LeMat-Bulk, functional PBE.

Output
Electronic total energy: -3.447 eV per atom

abc: 6.477 6.477 12.487
angles: 90.00 90.00 90.00
Fractional positions:
Sr1 0.500 0.500 0.167
Sr2 0.000 0.000 0.667
Cd1 0.500 0.500 0.834
Cd2 0.000 0.000 0.334
Ge1 0.500 0.500 0.498
Ge2 0.000 0.000 0.998
Cl1 0.203 0.797 0.487
Cl2 0.797 0.203 0.487
Cl3 0.297 0.297 0.987
Cl4 0.703 0.703 0.987
Cl5 0.183 0.817 0.168
Cl6 0.817 0.183 0.168
Cl7 0.317 0.317 0.668
Cl8 0.683 0.683 0.668
Cl9 0.796 0.204 0.844
Cl10 0.204 0.796 0.844
Cl11 0.704 0.704 0.344
Cl12 0.296 0.296 0.344

Entry 5:
SmLuBeAg after structural relaxation. Source: Alexandria via LeMat-Bulk, functional PBE.

Output
E_form: -0.048 eV/atom
Electronic total energy: -4.002 eV per atom

abc: 5.015 5.015 5.015
angles: 60.00 60.00 60.00
Fractional positions:
Be1 0.750 0.750 0.750
Lu1 0.000 0.000 0.000
Sm1 0.500 0.500 0.500
Ag1 0.250 0.250 0.250

Entry 6:
MgGaPb2O after structural relaxation. Source: Alexandria via LeMat-Bulk, functional PBE.

Output
Electronic total energy: -2.861 eV per atom

abc: 5.378 4.967 5.378
angles: 90.00 90.00 90.00
Fractional positions:
Pb1 0.000 0.000 0.500
Pb2 0.500 0.000 0.000
Mg1 0.000 0.500 0.000
O1 0.500 0.500 0.500
Ga1 0.000 0.000 0.000

no.,volume (Å³ per cell)
1,409
2,199
3,303
4,524
5,89
6,144